No. 1
PBE-GGA TlIrCl2, relaxed; energy above the lowest structure with this stoichiometry = 3.751 eV/f.u.; density of states at the Fermi level = 6.44 states/eV/cell; E = -3.002 eV per atom; E_form (uncorrected) = 0.73 eV/atom
1.0
-4.423 1.711 1.067
-3.619 -3.083 1.012
-1.707 -0.339 4.538
Tl Ir Cl
1 1 2
Cartesian
-7.311 -1.283 4.963
-4.874 -0.855 3.308
-2.437 -0.428 1.654
0.000 0.000 0.000

No. 2
PBE-GGA Tl2IrCl7, relaxed; E = -3.143 eV per atom; E_form (uncorrected) = -0.49 eV/atom
1.0
6.543 0.000 3.191
2.990 10.152 2.172
-0.255 -1.319 8.827
Cl Tl Ir
14 4 2
Cartesian
8.515 9.511 7.857
6.444 7.089 7.496
2.706 5.058 3.161
4.826 1.549 9.245
5.678 1.917 3.051
0.764 -0.678 6.332
2.835 1.745 6.693
7.268 2.500 8.095
4.453 7.284 4.944
3.600 6.917 11.138
2.010 6.333 6.095
6.573 3.776 11.029
1.589 1.353 9.248
7.689 7.480 4.942
3.259 4.409 9.070
6.019 4.424 5.119
6.714 8.841 10.290
2.565 -0.008 3.899
6.983 1.549 10.297
2.295 7.284 3.892

No. 3
PBE-GGA Tl2Ir2Cl, relaxed; energy above the lowest structure with this stoichiometry = 0.473 eV/f.u.; density of states at the Fermi level = 9.16 states/eV/cell; E = -4.361 eV per atom; E_form (uncorrected) = 0.50 eV/atom
1.0
7.902 0.000 0.000
0.000 7.902 0.000
0.000 0.000 3.220
Tl Ir Cl
4 4 2
Cartesian
6.520 2.570 1.610
5.332 6.520 1.610
2.570 1.381 1.610
1.381 5.332 1.610
2.977 6.928 0.000
6.928 4.924 0.000
4.924 0.974 0.000
0.974 2.977 0.000
3.951 3.951 0.000
0.000 0.000 0.000